The following is a PBE calculation of crystalline LaPuNiS4 at its relaxed geometry, from Alexandria.

Structure (extended XYZ):
```
14
Lattice="6.558 0.000 0.086 0.000 5.695 0.000 -2.460 0.000 7.608" Properties=species:S:1:pos:R:3 pbc="T T T"
S 5.829 2.785 2.032
Pu 3.828 4.272 3.420
S 2.787 1.424 3.135
S 2.503 4.272 0.992
Pu 0.270 1.424 4.274
S -1.730 5.633 5.662
S 1.595 1.424 6.703
S 1.311 4.272 4.560
Ni 3.317 1.424 5.261
La 1.593 1.424 0.546
S -1.730 2.911 5.662
S 5.829 0.063 2.032
Ni 0.781 4.272 2.434
La 2.505 4.272 7.149
```

Computed properties:
The space group is No. 11. For the uncorrected formation energy, the calculation gives -1457 meV per atom.

=====

The following is a PBE calculation of crystalline KBa2Y at its relaxed geometry, from Alexandria.

Structure (extended XYZ):
```
4
Lattice="14.262 -0.016 -0.010 13.656 4.112 -0.010 13.656 2.003 3.591" Properties=species:S:1:pos:R:3 pbc="T T T"
K 10.394 1.525 0.893
Y 31.181 4.574 2.679
Ba 20.359 2.987 1.749
Ba 0.429 0.063 0.037
```

Computed properties:
The space group is No. 166. As for the distance to the lowest polymorph of the same formula: 3 meV per atom.

=====

The following is a PBE calculation of crystalline SrAs2Se at its relaxed geometry, from Alexandria.

Structure (extended XYZ):
```
4
Lattice="-4.127 -0.300 -0.759 0.442 -4.725 -0.531 -0.763 -2.471 5.125" Properties=species:S:1:pos:R:3 pbc="T T T"
As -0.687 -2.909 4.888
Sr -2.304 -5.547 3.066
As -0.236 -3.160 2.534
Se -2.144 -1.949 0.769
```

Computed properties:
The space group is No. 10. For the uncorrected formation energy, the calculation gives -559 meV per atom.

=====

The following is a PBE calculation of crystalline HoTl2GaSe4 at its relaxed geometry, from Alexandria.

Structure (extended XYZ):
```
16
Lattice="-5.002 5.873 -3.628 -4.791 -6.259 -3.247 1.512 0.289 8.376" Properties=species:S:1:pos:R:3 pbc="T T T"
Se -4.392 2.744 0.700
Se -6.530 0.001 -0.644
Se -3.125 -3.173 5.003
Tl 0.756 0.144 4.188
Se -1.751 -0.098 2.144
Se -5.156 3.076 -3.503
Se -5.897 0.123 2.886
Tl -2.501 2.936 -1.814
Ga -3.490 6.162 4.748
Se -2.384 -0.220 -1.385
Tl -4.896 -0.193 -3.438
Tl -1.745 3.081 2.374
Ho -6.642 2.888 -1.064
Ga -4.141 -0.049 0.750
Ho -2.395 -3.130 -1.624
Se -3.889 -2.841 0.801
```

Computed properties:
The space group is No. 74. For the uncorrected formation energy, the calculation gives -805 meV per atom.

=====

The following is a PBE calculation of crystalline DyHo4Zn5 at its relaxed geometry, from Alexandria.

Structure (extended XYZ):
```
10
Lattice="3.557 0.000 0.000 0.000 3.557 0.000 0.000 0.000 17.773" Properties=species:S:1:pos:R:3 pbc="T T T"
Zn 1.779 1.779 1.795
Ho 0.000 0.000 3.565
Dy 0.000 0.000 0.000
Zn 1.779 1.779 15.977
Zn 1.779 1.779 8.886
Ho 0.000 0.000 7.114
Ho 0.000 0.000 14.208
Zn 1.779 1.779 12.431
Ho 0.000 0.000 10.658
Zn 1.779 1.779 5.342
```

Computed properties:
The total energy comes out at -3.27 eV/atom. The space group is No. 123.

=====

The following is a PBE calculation of crystalline Nb3TeI7 at its relaxed geometry, from Alexandria.

Structure (extended XYZ):
```
22
Lattice="7.722 0.000 0.000 -3.861 6.687 0.000 0.000 0.000 14.731" Properties=species:S:1:pos:R:3 pbc="T T T"
I -1.919 5.566 5.530
I 3.861 4.445 12.895
I 1.919 5.566 5.530
Te 0.000 0.000 8.954
I -1.914 3.353 2.134
Nb 1.534 0.886 3.673
I 0.000 4.458 12.501
Nb 6.187 0.886 3.673
Nb -2.327 5.801 11.038
I 5.775 3.334 9.500
Nb 2.326 5.801 11.038
Te 0.000 0.000 1.588
I 3.861 2.229 5.136
I 0.000 6.668 2.134
I 0.000 2.242 5.530
I 5.780 1.121 12.895
Nb 3.861 4.915 3.673
I 3.861 0.019 9.500
I 1.914 3.353 2.134
I 1.942 1.121 12.895
Nb 0.000 1.772 11.038
I 1.947 3.334 9.500
```

Computed properties:
The space group is No. 186. For the uncorrected formation energy, the calculation gives -533 meV per atom.

=====

The following is a PBE calculation of crystalline CdHg4F10 at its relaxed geometry, from Alexandria.

Structure (extended XYZ):
```
15
Lattice="-0.935 -5.432 1.075 3.348 -4.308 -4.189 4.410 -2.772 4.493" Properties=species:S:1:pos:R:3 pbc="T T T"
Hg 4.072 -6.731 -1.134
F 4.829 -4.571 2.977
F 5.717 -8.243 -0.137
F 1.106 -4.269 1.516
F 3.178 -7.614 0.958
F 2.470 -5.179 -2.144
F 3.645 -4.898 0.421
Hg 2.024 -3.363 -0.566
F 1.581 -1.507 0.969
Hg 2.751 -5.781 2.513
F 1.994 -7.941 -1.598
F 4.353 -7.333 3.523
Hg 4.799 -9.149 1.945
Cd 0.000 0.000 0.000
F 5.241 -11.005 0.410
```

Computed properties:
The space group is No. 87. For the uncorrected formation energy, the calculation gives -1578 meV per atom.

=====

The following is a PBE calculation of crystalline AcTiRh at its relaxed geometry, from Alexandria.

Structure (extended XYZ):
```
6
Lattice="4.937 0.000 0.000 -2.468 2.477 0.000 0.000 0.000 11.508" Properties=species:S:1:pos:R:3 pbc="T T T"
Ac 2.468 0.965 7.662
Ti 0.000 0.961 10.305
Ac 2.468 0.965 3.847
Ti 0.000 0.961 1.203
Rh 2.468 0.962 0.000
Rh 0.000 0.966 5.754
```

Computed properties:
The total energy comes out at -6.58 eV/atom. The space group is No. 65.

=====

The following is a PBE calculation of crystalline KAl2Pt2 at its relaxed geometry, from Alexandria.

Structure (extended XYZ):
```
5
Lattice="4.254 0.000 0.000 0.000 4.254 0.000 2.127 2.127 5.601" Properties=species:S:1:pos:R:3 pbc="T T T"
Al 2.127 4.254 2.800
Pt 2.127 2.127 1.420
Al 4.254 2.127 2.800
Pt 4.254 4.254 4.181
K 0.000 0.000 0.000
```

Computed properties:
The space group is No. 139. As for the distance to the lowest polymorph of the same formula: 8 meV per atom.

=====

The following is a PBE calculation of crystalline SrNiH3 at its relaxed geometry, from Alexandria.

Structure (extended XYZ):
```
5
Lattice="2.975 0.000 0.000 0.000 2.304 -5.143 0.000 2.304 5.143" Properties=species:S:1:pos:R:3 pbc="T T T"
H 1.487 3.191 0.832
H 1.487 1.418 0.832
Sr 1.487 2.304 4.056
Ni 0.000 2.304 0.824
H 0.000 2.304 2.426
```

Computed properties:
The total energy comes out at -3.45 eV/atom. The space group is No. 38.

=====

The following is a PBE calculation of crystalline KPrAs2Pt4 at its relaxed geometry, from Alexandria.

Structure (extended XYZ):
```
8
Lattice="4.074 0.000 0.000 0.000 4.074 0.000 0.000 0.000 11.207" Properties=species:S:1:pos:R:3 pbc="T T T"
Pt 0.000 2.037 2.266
Pt 2.037 0.000 2.266
Pr 0.000 0.000 0.000
K 0.000 0.000 5.604
Pt 2.037 0.000 8.941
Pt 0.000 2.037 8.941
As 2.037 2.037 7.543
As 2.037 2.037 3.664
```

Computed properties:
The total energy comes out at -5.53 eV/atom. The space group is No. 123.

=====

The following is a PBE calculation of crystalline Si2GePd6 at its relaxed geometry, from Alexandria.

Structure (extended XYZ):
```
18
Lattice="5.626 0.000 0.586 0.000 6.375 0.000 0.210 0.000 7.736" Properties=species:S:1:pos:R:3 pbc="T T T"
Pd 4.692 4.108 4.836
Pd 3.837 2.871 2.464
Pd 4.707 6.059 2.282
Pd 1.144 2.267 3.486
Si 0.373 3.982 1.993
Si 5.463 2.393 6.329
Pd 1.999 3.504 5.858
Pd 1.129 0.317 6.040
Ge 0.105 0.000 3.868
Pd 0.692 1.927 0.647
Pd 5.144 4.448 7.675
Si 3.291 5.581 6.154
Pd 3.610 1.261 4.809
Pd 1.774 5.455 0.675
Ge 2.813 3.188 0.293
Si 2.545 0.795 2.168
Pd 2.226 5.115 3.514
Pd 4.062 0.920 7.647
```

Computed properties:
The space group is No. 14. For the uncorrected formation energy, the calculation gives -472 meV per atom.

=====

The following is a PBE calculation of crystalline ErMn6Ga6 at its relaxed geometry, from Alexandria.

Structure (extended XYZ):
```
13
Lattice="0.000 6.233 6.364 2.415 0.000 6.364 2.415 6.233 0.000" Properties=species:S:1:pos:R:3 pbc="T T T"
Mn 2.415 2.217 4.142
Er 0.000 0.000 0.000
Mn 2.415 10.250 8.586
Ga 1.208 0.000 3.182
Ga 2.415 7.808 7.842
Ga 1.208 6.233 3.182
Mn 2.415 10.250 4.142
Mn 2.415 2.217 8.586
Ga 2.415 4.659 4.886
Mn 1.208 3.117 6.364
Ga 2.415 7.808 4.886
Ga 2.415 4.659 7.842
Mn 1.208 3.117 0.000
```

Computed properties:
The space group is No. 69. As for the distance to the lowest polymorph of the same formula: 115 meV per atom.

=====

The following is a PBE calculation of crystalline Er2VB2Ru5 at its relaxed geometry, from Alexandria.

Structure (extended XYZ):
```
20
Lattice="-1.555 2.622 0.426 -8.196 -4.865 0.035 0.703 -1.116 9.440" Properties=species:S:1:pos:R:3 pbc="T T T"
Ru -6.317 -2.637 4.301
B -0.566 -1.290 5.880
Er -2.082 -2.500 7.797
Ru -0.426 0.753 4.933
Ru -4.875 -1.122 0.231
Ru -6.575 -3.557 9.023
Er -5.411 -3.481 1.678
Er -1.208 -1.215 3.072
Ru -4.945 -2.256 6.962
Ru -0.795 0.094 7.646
V -3.746 -2.990 4.738
B -6.927 -4.691 3.595
Ru -8.253 -3.453 2.255
Er -6.285 -4.766 6.403
B -3.008 -1.973 1.169
V 0.000 0.000 0.000
B -4.485 -4.007 8.306
Ru -2.472 0.198 0.878
Ru -4.103 -1.103 2.939
Ru -2.731 -0.722 5.600
```

Computed properties:
The total energy comes out at -8.29 eV/atom. The space group is No. 127.

=====

The following is a PBE calculation of crystalline SrAgSb at its relaxed geometry, from Alexandria.

Structure (extended XYZ):
```
6
Lattice="4.790 -2.766 0.000 0.000 5.531 0.000 0.000 0.000 13.100" Properties=species:S:1:pos:R:3 pbc="T T T"
Sb 0.000 0.000 0.000
Sr 0.000 0.000 9.825
Ag 3.193 0.000 9.825
Ag 1.597 2.766 3.275
Sb 0.000 0.000 6.550
Sr 0.000 0.000 3.275
```

Computed properties:
The space group is No. 194. For the uncorrected formation energy, the calculation gives 629 meV per atom.

=====

The following is a PBE calculation of crystalline Th6GeP2S3 at its relaxed geometry, from Alexandria.

Structure (extended XYZ):
```
12
Lattice="-2.267 -0.513 -3.451 6.838 -1.298 -4.298 -1.074 -8.006 4.404" Properties=species:S:1:pos:R:3 pbc="T T T"
P 1.955 -6.613 -2.809
S 4.964 -3.803 -2.694
Th -1.286 -3.161 -1.193
Th 4.784 -6.656 -2.152
P 1.542 -3.204 -0.536
Th 1.395 -6.044 -0.017
Th 1.749 -0.361 -1.095
S 2.286 -0.906 -3.875
Ge -1.133 -0.257 -1.726
Th 2.102 -3.772 -3.328
Th 1.749 -9.456 -2.250
S -1.466 -6.014 -0.651
```

Computed properties:
The space group is No. 12. For the uncorrected formation energy, the calculation gives -1584 meV per atom.

=====

The following is a PBE calculation of crystalline TiSbTe2Pd at its relaxed geometry, from Alexandria.

Structure (extended XYZ):
```
5
Lattice="5.249 0.000 0.000 0.000 5.249 0.000 0.000 0.000 5.233" Properties=species:S:1:pos:R:3 pbc="T T T"
Sb 0.000 0.000 2.616
Te 2.624 0.000 0.000
Pd 2.624 2.624 2.616
Ti 0.000 0.000 0.000
Te 0.000 2.624 0.000
```

Computed properties:
The space group is No. 123. As for the distance to the lowest polymorph of the same formula: 0 meV per atom. For the uncorrected formation energy, the calculation gives 300 meV per atom.

=====

The following is a PBE calculation of crystalline SrHoGaSn at its relaxed geometry, from Alexandria.

Structure (extended XYZ):
```
4
Lattice="5.395 0.000 0.000 2.697 4.672 0.000 2.697 1.557 4.405" Properties=species:S:1:pos:R:3 pbc="T T T"
Ho 0.000 0.000 0.000
Ga 8.092 4.672 3.303
Sr 5.395 3.115 2.202
Sn 2.697 1.557 1.101
```

Computed properties:
The total energy comes out at -3.76 eV/atom. The space group is No. 216.

=====

The following is a PBE calculation of crystalline La2Pr2SmHg5 at its relaxed geometry, from Alexandria.

Structure (extended XYZ):
```
20
Lattice="-3.345 0.804 -3.157 -6.404 -7.904 4.771 -4.524 7.748 6.764" Properties=species:S:1:pos:R:3 pbc="T T T"
Hg -4.874 -3.550 0.807
La -5.113 -3.980 4.403
Pr -2.959 -1.928 2.643
Hg -7.866 -1.793 4.424
Sm -5.464 -0.078 5.768
La -2.591 1.136 3.034
Pr -7.969 1.771 8.892
La -5.814 3.823 7.132
Pr -7.252 -4.010 6.661
Hg -3.227 -0.302 -0.111
La -8.336 -1.293 8.502
Hg -5.972 6.047 4.414
Hg -8.299 -5.400 3.965
Sm 0.000 0.000 0.000
Hg -8.526 0.986 5.831
Hg -6.406 2.440 3.954
Hg -3.934 4.276 1.804
Pr -3.675 3.854 4.874
Hg -11.045 0.950 8.489
Hg -5.745 -0.338 2.547
```

Computed properties:
The total energy comes out at -2.89 eV/atom. The space group is No. 127.

=====

The following is a PBE calculation of crystalline LaBi4Pd15 at its relaxed geometry, from Alexandria.

Structure (extended XYZ):
```
20
Lattice="4.172 0.000 0.000 0.000 4.172 0.000 0.000 0.000 20.644" Properties=species:S:1:pos:R:3 pbc="T T T"
Pd 2.086 0.000 6.230
Pd 2.086 2.086 12.369
Pd 2.086 2.086 4.233
Pd 0.000 2.086 2.149
Pd 0.000 2.086 6.230
Pd 0.000 2.086 10.322
Pd 2.086 0.000 18.495
Pd 0.000 2.086 18.495
Pd 0.000 2.086 14.414
Bi 0.000 0.000 8.272
Pd 2.086 2.086 16.411
La 0.000 0.000 0.000
Bi 0.000 0.000 4.165
Pd 2.086 0.000 14.414
Pd 2.086 2.086 8.275
Bi 0.000 0.000 16.478
Pd 2.086 0.000 2.149
Pd 2.086 0.000 10.322
Pd 2.086 2.086 0.000
Bi 0.000 0.000 12.372
```

Computed properties:
The total energy comes out at -5.26 eV/atom. The space group is No. 123.

=====

The following is a PBE calculation of crystalline CeYCu3 at its relaxed geometry, from Alexandria.

Structure (extended XYZ):
```
10
Lattice="3.500 0.000 -0.482 0.000 4.336 0.000 0.044 0.000 13.269" Properties=species:S:1:pos:R:3 pbc="T T T"
Ce 3.285 3.252 10.909
Y 0.733 3.252 5.326
Cu 1.710 1.084 12.417
Cu 1.180 3.252 8.568
Y 2.811 1.084 7.461
Cu 2.364 1.084 4.220
Cu 1.834 3.252 0.370
Cu 1.371 1.084 9.954
Cu 2.173 3.252 2.833
Ce 0.259 1.084 1.879
```

Computed properties:
The total energy comes out at -5.11 eV/atom. The space group is No. 63.